The following is a DFT calculation (PBE) of an optimized crystal structure of CrSnS2.

```
data_CrSnS2
_cell_length_a 9.299
_cell_length_b 8.312
_cell_length_c 6.540
_cell_angle_alpha 90.00
_cell_angle_beta 130.13
_cell_angle_gamma 90.00
_symmetry_space_group_name_H-M 'C 1 c 1'
_symmetry_Int_Tables_number 9
loop_
_symmetry_equiv_pos_as_xyz
'x,y,z'
'x,-y,z+1/2'
'x+1/2,y+1/2,z'
'x+1/2,-y+1/2,z+1/2'
loop_
_atom_site_label
_atom_site_type_symbol
_atom_site_fract_x
_atom_site_fract_y
_atom_site_fract_z
Cr1 Cr 0.000 0.124 0.000
Sn1 Sn 0.400 0.023 0.044
S1 S 0.037 0.124 0.687
S2 S 0.223 0.276 0.368
```


The following is a DFT calculation (PBE) of an optimized crystal structure of CrSnS2.

```
data_CrSnS2
_cell_length_a 3.4668
_cell_length_b 3.4668
_cell_length_c 24.4488
_cell_angle_alpha 90.00
_cell_angle_beta 90.00
_cell_angle_gamma 120.00
_symmetry_space_group_name_H-M 'R -3 m'
_symmetry_Int_Tables_number 166
_symmetry_space_group_name_Hall '-R 3 2"'
loop_
_atom_site_label
_atom_site_type_symbol
_atom_site_fract_x
_atom_site_fract_y
_atom_site_fract_z
Cr1 Cr 0.0000 0.0000 0.0000
Sn1 Sn 0.0000 0.0000 0.5000
S1 S 0.0000 0.0000 0.3860
```


The following is a DFT calculation (PBE) of an optimized crystal structure of Cr2SnS.

```
data_Cr2SnS
_cell_length_a 6.220
_cell_length_b 6.220
_cell_length_c 6.220
_cell_angle_alpha 90.00
_cell_angle_beta 90.00
_cell_angle_gamma 90.00
_symmetry_space_group_name_H-M 'F m -3 m'
_symmetry_Int_Tables_number 225
_symmetry_space_group_name_Hall '-F 4 2 3'
loop_
_atom_site_label
_atom_site_type_symbol
_atom_site_fract_x
_atom_site_fract_y
_atom_site_fract_z
Cr1 Cr 0.250 0.250 0.250
Sn1 Sn 0.000 0.000 0.000
S1 S 0.000 0.000 0.500
```

relative energy among the computed polymorphs = 4.27 kcal/mol of atoms


The following is a DFT calculation (PBE) of an optimized crystal structure of CrSnS.

```
data_CrSnS
_cell_length_a 5.752
_cell_length_b 12.869
_cell_length_c 6.662
_cell_angle_alpha 90.00
_cell_angle_beta 90.00
_cell_angle_gamma 90.00
_symmetry_space_group_name_H-M 'C m c e'
_symmetry_Int_Tables_number 64
_symmetry_space_group_name_Hall '-C 2ac 2'
loop_
_atom_site_label
_atom_site_type_symbol
_atom_site_fract_x
_atom_site_fract_y
_atom_site_fract_z
Cr1 Cr 0.250 0.083 0.250
Sn1 Sn 0.000 0.096 0.641
S1 S 0.000 0.188 0.100
```


The following is a DFT calculation (PBE) of an optimized crystal structure of CrSnS2.

```
data_CrSnS2
_cell_length_a 3.8760
_cell_length_b 3.8760
_cell_length_c 7.2377
_cell_angle_alpha 90.00
_cell_angle_beta 90.00
_cell_angle_gamma 120.00
_symmetry_space_group_name_H-M 'P 3 m 1'
_symmetry_Int_Tables_number 156
loop_
_symmetry_equiv_pos_as_xyz
'x,y,z'
'-y,x-y,z'
'-x+y,-x,z'
'-y,-x,z'
'-x+y,y,z'
'x,x-y,z'
loop_
_atom_site_label
_atom_site_type_symbol
_atom_site_fract_x
_atom_site_fract_y
_atom_site_fract_z
Cr1 Cr 0.0000 0.0000 0.0000
Sn1 Sn 0.6667 0.3333 0.5399
S1 S 0.0000 0.0000 0.3302
S2 S 0.3333 0.6667 0.8919
```


The following is a DFT calculation (PBE) of an optimized crystal structure of CrSnS2.

```
data_CrSnS2
_cell_length_a 5.580
_cell_length_b 3.222
_cell_length_c 8.556
_cell_angle_alpha 90.00
_cell_angle_beta 90.08
_cell_angle_gamma 90.00
_symmetry_space_group_name_H-M 'C 1 m 1'
_symmetry_Int_Tables_number 8
loop_
_symmetry_equiv_pos_as_xyz
'x,y,z'
'x,-y,z'
'x+1/2,y+1/2,z'
'x+1/2,-y+1/2,z'
loop_
_atom_site_label
_atom_site_type_symbol
_atom_site_fract_x
_atom_site_fract_y
_atom_site_fract_z
Cr1 Cr 0.000 0.000 0.000
Sn1 Sn 0.166 0.500 0.500
S1 S 0.166 0.500 0.838
S2 S 0.167 0.500 0.162
```


The following is a DFT calculation (PBE) of an optimized crystal structure of CrSnS2.

```
data_CrSnS2
_cell_length_a 2.993
_cell_length_b 27.647
_cell_length_c 3.576
_cell_angle_alpha 90.00
_cell_angle_beta 90.00
_cell_angle_gamma 90.00
_symmetry_space_group_name_H-M 'C m c m'
_symmetry_Int_Tables_number 63
_symmetry_space_group_name_Hall '-C 2c 2'
loop_
_atom_site_label
_atom_site_type_symbol
_atom_site_fract_x
_atom_site_fract_y
_atom_site_fract_z
Cr1 Cr 0.000 0.194 0.250
Sn1 Sn 0.000 0.445 0.250
S1 S 0.000 0.281 0.250
S2 S 0.000 0.370 0.750
```


The following is a DFT calculation (PBE) of an optimized crystal structure of CrSnS2.

```
data_CrSnS2
_cell_length_a 9.188
_cell_length_b 7.759
_cell_length_c 5.459
_cell_angle_alpha 90.00
_cell_angle_beta 116.61
_cell_angle_gamma 90.00
_symmetry_space_group_name_H-M 'C 1 2/c 1'
_symmetry_Int_Tables_number 15
loop_
_symmetry_equiv_pos_as_xyz
'x,y,z'
'-x,-y,-z'
'-x,y,-z+1/2'
'x,-y,z+1/2'
'x+1/2,y+1/2,z'
'-x+1/2,-y+1/2,-z'
'-x+1/2,y+1/2,-z+1/2'
'x+1/2,-y+1/2,z+1/2'
loop_
_atom_site_label
_atom_site_type_symbol
_atom_site_fract_x
_atom_site_fract_y
_atom_site_fract_z
Cr1 Cr 0.000 0.029 0.250
Sn1 Sn 0.000 0.402 0.250
S1 S 0.159 0.139 0.658
```


The following is a DFT calculation (PBE) of an optimized crystal structure of CrSnS2.

```
data_CrSnS2
_cell_length_a 6.545
_cell_length_b 3.448
_cell_length_c 8.616
_cell_angle_alpha 90.00
_cell_angle_beta 112.19
_cell_angle_gamma 90.00
_symmetry_space_group_name_H-M 'P 1 21/m 1'
_symmetry_Int_Tables_number 11
loop_
_symmetry_equiv_pos_as_xyz
'x,y,z'
'-x,-y,-z'
'-x,y+1/2,-z'
'x,-y+1/2,z'
loop_
_atom_site_label
_atom_site_type_symbol
_atom_site_fract_x
_atom_site_fract_y
_atom_site_fract_z
Cr1 Cr 0.012 0.250 0.348
Sn1 Sn 0.285 0.750 0.199
S1 S 0.137 0.250 0.856
S2 S 0.244 0.750 0.517
```


The following is a DFT calculation (PBE) of an optimized crystal structure of CrSnS2.

```
data_CrSnS2
_cell_length_a 6.068
_cell_length_b 10.141
_cell_length_c 5.738
_cell_angle_alpha 90.00
_cell_angle_beta 90.00
_cell_angle_gamma 90.00
_symmetry_space_group_name_H-M 'P n a 21'
_symmetry_Int_Tables_number 33
loop_
_symmetry_equiv_pos_as_xyz
'x,y,z'
'-x,-y,z+1/2'
'-x+1/2,y+1/2,z+1/2'
'x+1/2,-y+1/2,z'
loop_
_atom_site_label
_atom_site_type_symbol
_atom_site_fract_x
_atom_site_fract_y
_atom_site_fract_z
Cr1 Cr 0.068 0.120 0.000
Sn1 Sn 0.067 0.619 0.071
S1 S 0.059 0.664 0.601
S2 S 0.120 0.895 0.128
```


The following is a DFT calculation (PBE) of an optimized crystal structure of Cr3SnS8.

```
data_Cr3SnS8
_cell_length_a 6.7324
_cell_length_b 6.7324
_cell_length_c 18.3478
_cell_angle_alpha 90.00
_cell_angle_beta 90.00
_cell_angle_gamma 120.00
_symmetry_space_group_name_H-M 'R -3 m'
_symmetry_Int_Tables_number 166
_symmetry_space_group_name_Hall '-R 3 2"'
loop_
_atom_site_label
_atom_site_type_symbol
_atom_site_fract_x
_atom_site_fract_y
_atom_site_fract_z
Cr1 Cr 0.0000 0.5000 0.0000
Sn1 Sn 0.0000 0.0000 0.5000
S1 S 0.0000 0.0000 0.2606
S2 S 0.9998 0.4999 0.2596
```


The following is a DFT calculation (PBE) of an optimized crystal structure of CrSnS2.

```
data_CrSnS2
_cell_length_a 3.4424
_cell_length_b 3.4424
_cell_length_c 8.0849
_cell_angle_alpha 90.00
_cell_angle_beta 90.00
_cell_angle_gamma 120.00
_symmetry_space_group_name_H-M 'P 3 m 1'
_symmetry_Int_Tables_number 156
loop_
_symmetry_equiv_pos_as_xyz
'x,y,z'
'-y,x-y,z'
'-x+y,-x,z'
'-y,-x,z'
'-x+y,y,z'
'x,x-y,z'
loop_
_atom_site_label
_atom_site_type_symbol
_atom_site_fract_x
_atom_site_fract_y
_atom_site_fract_z
Cr1 Cr 0.0000 0.0000 0.0000
Sn1 Sn 0.3333 0.6667 0.5068
S1 S 0.3333 0.6667 0.8358
S2 S 0.6667 0.3333 0.1599
```


The following is a DFT calculation (PBE) of an optimized crystal structure of CrSnS2.

```
data_CrSnS2
_cell_length_a 7.629
_cell_length_b 3.475
_cell_length_c 13.512
_cell_angle_alpha 90.00
_cell_angle_beta 90.00
_cell_angle_gamma 90.00
_symmetry_space_group_name_H-M 'P n m a'
_symmetry_Int_Tables_number 62
loop_
_symmetry_equiv_pos_as_xyz
'x,y,z'
'-x,-y,-z'
'-x+1/2,-y,z+1/2'
'x+1/2,y,-z+1/2'
'x+1/2,-y+1/2,-z+1/2'
'-x+1/2,y+1/2,z+1/2'
'-x,y+1/2,-z'
'x,-y+1/2,z'
loop_
_atom_site_label
_atom_site_type_symbol
_atom_site_fract_x
_atom_site_fract_y
_atom_site_fract_z
Cr1 Cr 0.128 0.250 0.075
Sn1 Sn 0.023 0.250 0.628
S1 S 0.146 0.750 0.197
S2 S 0.177 0.750 0.958
```


The following is a DFT calculation (PBE) of an optimized crystal structure of SrCrSn2S.

```
data_SrCrSn2S
_cell_length_a 5.604
_cell_length_b 5.604
_cell_length_c 4.512
_cell_angle_alpha 90.00
_cell_angle_beta 90.00
_cell_angle_gamma 90.00
_symmetry_space_group_name_H-M 'P 4/m m m'
_symmetry_Int_Tables_number 123
_symmetry_space_group_name_Hall '-P 4 2'
loop_
_atom_site_label
_atom_site_type_symbol
_atom_site_fract_x
_atom_site_fract_y
_atom_site_fract_z
Sr1 Sr 0.000 0.000 0.000
Cr1 Cr 0.500 0.500 0.000
Sn1 Sn 0.000 0.500 0.500
S1 S 0.500 0.500 0.500
```


The following is a DFT calculation (PBE) of an optimized crystal structure of CrTcSn2S.

```
data_CrTcSn2S
_cell_length_a 5.367
_cell_length_b 5.367
_cell_length_c 4.339
_cell_angle_alpha 90.00
_cell_angle_beta 90.00
_cell_angle_gamma 90.00
_symmetry_space_group_name_H-M 'P 4/m m m'
_symmetry_Int_Tables_number 123
_symmetry_space_group_name_Hall '-P 4 2'
loop_
_atom_site_label
_atom_site_type_symbol
_atom_site_fract_x
_atom_site_fract_y
_atom_site_fract_z
Cr1 Cr 0.000 0.000 0.000
Tc1 Tc 0.500 0.500 0.500
Sn1 Sn 0.000 0.500 0.500
S1 S 0.500 0.500 0.000
```


The following is a DFT calculation (PBE) of an optimized crystal structure of TlCrSnS2.

```
data_TlCrSnS2
_cell_length_a 4.448
_cell_length_b 4.448
_cell_length_c 5.605
_cell_angle_alpha 90.00
_cell_angle_beta 90.00
_cell_angle_gamma 90.00
_symmetry_space_group_name_H-M 'P 4/m m m'
_symmetry_Int_Tables_number 123
_symmetry_space_group_name_Hall '-P 4 2'
loop_
_atom_site_label
_atom_site_type_symbol
_atom_site_fract_x
_atom_site_fract_y
_atom_site_fract_z
Tl1 Tl 0.000 0.000 0.000
Cr1 Cr 0.000 0.000 0.500
Sn1 Sn 0.500 0.500 0.000
S1 S 0.000 0.500 0.500
```


The following is a DFT calculation (PBE) of an optimized crystal structure of Tl3Cr2SnS6.

```
data_Tl3Cr2SnS6
_cell_length_a 6.458
_cell_length_b 11.179
_cell_length_c 7.715
_cell_angle_alpha 90.00
_cell_angle_beta 106.36
_cell_angle_gamma 90.00
_symmetry_space_group_name_H-M 'C 1 2/m 1'
_symmetry_Int_Tables_number 12
loop_
_symmetry_equiv_pos_as_xyz
'x,y,z'
'-x,-y,-z'
'-x,y,-z'
'x,-y,z'
'x+1/2,y+1/2,z'
'-x+1/2,-y+1/2,-z'
'-x+1/2,y+1/2,-z'
'x+1/2,-y+1/2,z'
loop_
_atom_site_label
_atom_site_type_symbol
_atom_site_fract_x
_atom_site_fract_y
_atom_site_fract_z
Tl1 Tl 0.000 0.000 0.000
Tl2 Tl 0.000 0.340 0.000
Cr1 Cr 0.000 0.166 0.500
Sn1 Sn 0.000 0.500 0.500
S1 S 0.198 0.000 0.673
S2 S 0.241 0.320 0.678
```


The following is a DFT calculation (PBE) of an optimized crystal structure of Tl2CrSnS4.

```
data_Tl2CrSnS4
_cell_length_a 7.455
_cell_length_b 7.455
_cell_length_c 7.867
_cell_angle_alpha 90.00
_cell_angle_beta 90.00
_cell_angle_gamma 90.00
_symmetry_space_group_name_H-M 'I -4'
_symmetry_Int_Tables_number 82
loop_
_symmetry_equiv_pos_as_xyz
'x,y,z'
'y,-x,-z'
'-x,-y,z'
'-y,x,-z'
'x+1/2,y+1/2,z+1/2'
'y+1/2,-x+1/2,-z+1/2'
'-x+1/2,-y+1/2,z+1/2'
'-y+1/2,x+1/2,-z+1/2'
loop_
_atom_site_label
_atom_site_type_symbol
_atom_site_fract_x
_atom_site_fract_y
_atom_site_fract_z
Tl1 Tl 0.000 0.000 0.000
Tl2 Tl 0.000 0.500 0.250
Cr1 Cr 0.000 0.500 0.750
Sn1 Sn 0.000 0.000 0.500
S1 S 0.160 0.306 0.607
```


The following is a DFT calculation (PBE) of an optimized crystal structure of ZnCrSnS4.

```
data_ZnCrSnS4
_cell_length_a 7.304
_cell_length_b 7.364
_cell_length_c 10.525
_cell_angle_alpha 90.00
_cell_angle_beta 90.00
_cell_angle_gamma 90.00
_symmetry_space_group_name_H-M 'I m m a'
_symmetry_Int_Tables_number 74
_symmetry_space_group_name_Hall '-I 2b 2'
loop_
_atom_site_label
_atom_site_type_symbol
_atom_site_fract_x
_atom_site_fract_y
_atom_site_fract_z
Zn1 Zn 0.000 0.250 0.126
Cr1 Cr 0.250 0.250 0.750
Sn1 Sn 0.000 0.000 0.500
S1 S 0.000 0.027 0.750
S2 S 0.244 0.250 0.976
```


The following is a DFT calculation (PBE) of an optimized crystal structure of SrCr5S8.

```
data_SrCr5S8
_cell_length_a 18.121
_cell_length_b 3.555
_cell_length_c 8.408
_cell_angle_alpha 90.00
_cell_angle_beta 106.94
_cell_angle_gamma 90.00
_symmetry_space_group_name_H-M 'C 1 m 1'
_symmetry_Int_Tables_number 8
loop_
_symmetry_equiv_pos_as_xyz
'x,y,z'
'x,-y,z'
'x+1/2,y+1/2,z'
'x+1/2,-y+1/2,z'
loop_
_atom_site_label
_atom_site_type_symbol
_atom_site_fract_x
_atom_site_fract_y
_atom_site_fract_z
Sr1 Sr 0.000 0.000 0.000
Cr1 Cr 0.031 0.500 0.485
Cr2 Cr 0.186 0.000 0.438
Cr3 Cr 0.233 0.000 0.812
Cr4 Cr 0.325 0.500 0.152
Cr5 Cr 0.375 0.500 0.522
S1 S 0.107 0.500 0.282
S2 S 0.109 0.000 0.624
S3 S 0.201 0.500 0.964
S4 S 0.265 0.500 0.626
S5 S 0.296 0.000 0.328
S6 S 0.362 0.000 0.994
S7 S 0.455 0.000 0.681
S8 S 0.455 0.500 0.333
```


The following is a DFT calculation (PBE) of an optimized crystal structure of SrCrS3.

```
data_SrCrS3
_cell_length_a 4.675
_cell_length_b 4.675
_cell_length_c 4.675
_cell_angle_alpha 90.00
_cell_angle_beta 90.00
_cell_angle_gamma 90.00
_symmetry_space_group_name_H-M 'P m -3 m'
_symmetry_Int_Tables_number 221
_symmetry_space_group_name_Hall '-P 4 2 3'
loop_
_atom_site_label
_atom_site_type_symbol
_atom_site_fract_x
_atom_site_fract_y
_atom_site_fract_z
Sr1 Sr 0.000 0.000 0.000
Cr1 Cr 0.500 0.500 0.500
S1 S 0.000 0.500 0.500
```


Number 1: formation energy (no corrections) -326 meV/atom, uncorrected energy -5.797 eV/atom. Number 2: formation energy (no corrections) -530 meV/atom, uncorrected energy -6.000 eV/atom. Number 3: formation energy (no corrections) 488 meV/atom, uncorrected energy -6.356 eV/atom. Number 4: formation energy (no corrections) -11 meV/atom, uncorrected energy -5.929 eV/atom. Number 5: formation energy (no corrections) -342 meV/atom, uncorrected energy -5.812 eV/atom. Number 6: formation energy (no corrections) -430 meV/atom, uncorrected energy -5.900 eV/atom. Number 7: formation energy (no corrections) -236 meV/atom, uncorrected energy -5.706 eV/atom. Number 8: formation energy (no corrections) -336 meV/atom, uncorrected energy -5.807 eV/atom. Number 9: formation energy (no corrections) -418 meV/atom, uncorrected energy -5.888 eV/atom. Number 10: formation energy (no corrections) -320 meV/atom, uncorrected energy -5.790 eV/atom. Number 11: formation energy (no corrections) -458 meV/atom, uncorrected energy -5.949 eV/atom. Number 12: formation energy (no corrections) -506 meV/atom, uncorrected energy -5.977 eV/atom. Number 13: formation energy (no corrections) -426 meV/atom, uncorrected energy -5.896 eV/atom. Number 14: formation energy (no corrections) -41 meV/atom, uncorrected energy -4.728 eV/atom. Number 15: formation energy (no corrections) 561 meV/atom, uncorrected energy -5.863 eV/atom. Number 16: formation energy (no corrections) 160 meV/atom, uncorrected energy -4.690 eV/atom. Number 17: formation energy (no corrections) -511 meV/atom, uncorrected energy -5.104 eV/atom. Number 18: formation energy (no corrections) -369 meV/atom, uncorrected energy -4.728 eV/atom. Number 19: formation energy (no corrections) -564 meV/atom, uncorrected energy -5.052 eV/atom. Number 20: formation energy (no corrections) -849 meV/atom, uncorrected energy -6.764 eV/atom. Number 21: formation energy (no corrections) -944 meV/atom, uncorrected energy -5.682 eV/atom.